YMgZn11 PBE relaxed; ΔH_f (0 K) = -0.1640 eV/atom; energy = -24.204 eV for the cell shown
1.0
2.690 -6.254 0.000
2.690 6.254 0.000
-2.659 0.000 6.307
Y Mg Zn
1 1 11
Cartesian
0.000 0.000 0.000
-1.329 0.000 3.154
1.345 3.127 0.000
0.059 2.238 2.211
0.048 1.367 4.963
0.059 -2.238 2.211
2.673 1.367 1.344
1.345 -3.127 0.000
1.361 0.000 3.154
0.048 -1.367 4.963
2.662 2.238 4.096
2.673 -1.367 1.344
2.662 -2.238 4.096

YMg6Zn6 PBE relaxed; ΔH_f (0 K) = -0.1634 eV/atom; energy = -25.799 eV for the cell shown
1.0
-2.736 4.689 4.755
2.736 -4.689 4.755
2.736 4.689 -4.755
Y Mg Zn
1 6 6
Cartesian
0.000 0.000 0.000
2.736 1.834 0.000
0.000 0.000 3.288
0.000 3.251 0.000
0.000 6.127 0.000
0.000 0.000 6.222
0.000 2.855 4.755
1.368 2.345 -2.378
1.368 -2.345 2.378
2.736 0.000 2.132
-1.368 2.345 2.378
1.368 2.345 2.378
0.000 4.689 2.623

YMgZn PBE relaxed; ΔH_f (0 K) = -0.2186 eV/atom; energy = -19.977 eV for the cell shown; energy relative to the lowest polymorph listed for this composition = 0.24 eV per formula unit
1.0
4.690 0.000 0.000
0.000 3.548 0.000
0.000 0.000 8.461
Y Mg Zn
2 2 2
Cartesian
1.173 0.000 1.775
3.518 0.000 6.686
1.173 1.774 5.009
3.518 1.774 3.452
1.173 1.774 7.757
3.518 1.774 0.704

YMg3Zn3 PBE relaxed; ΔH_f (0 K) = -0.1633 eV/atom; energy = -32.426 eV for the cell shown
1.0
8.379 0.000 0.000
-4.190 7.257 0.000
0.000 0.000 4.675
Y Mg Zn
2 6 6
Cartesian
0.000 4.838 1.169
4.190 2.419 3.506
-0.903 1.791 3.506
-2.187 7.143 3.506
1.100 1.678 1.169
3.090 5.579 3.506
6.376 0.113 1.169
5.093 5.465 1.169
-1.863 4.382 3.506
1.326 3.452 3.506
3.652 0.577 1.169
0.537 6.679 3.506
2.864 3.805 1.169
6.053 2.874 1.169

Y3MgZn PBE relaxed; ΔH_f (0 K) = 0.1968 eV/atom; energy = -21.277 eV for the cell shown; energy relative to the lowest polymorph listed for this composition = 1.75 eV per formula unit
1.0
5.459 0.000 0.000
0.000 5.459 0.000
0.000 0.000 5.459
Y Mg Zn
3 1 1
Cartesian
0.000 0.000 2.730
0.000 2.730 0.000
2.730 0.000 0.000
2.730 2.730 2.730
0.000 0.000 0.000

Y5MgZn6 PBE relaxed; ΔH_f (0 K) = -0.3328 eV/atom; energy = -45.552 eV for the cell shown
1.0
4.337 -7.537 0.000
4.337 7.537 0.000
-2.829 0.000 4.069
Y Mg Zn
5 1 6
Cartesian
0.000 0.000 0.000
2.922 4.961 2.034
4.337 2.433 0.000
4.337 -2.433 0.000
2.922 -4.961 2.034
2.922 0.000 2.034
1.493 2.436 1.042
0.090 0.000 3.075
1.493 -2.436 1.042
4.352 2.436 3.026
5.755 0.000 0.993
4.352 -2.436 3.026

YMgZn17 PBE relaxed; ΔH_f (0 K) = -0.1248 eV/atom; energy = -32.088 eV for the cell shown
1.0
4.476 2.584 4.402
-4.476 2.584 4.402
0.000 -5.168 4.402
Y Mg Zn
1 1 17
Cartesian
0.000 0.000 0.000
0.000 0.000 9.280
-1.394 -2.326 4.440
-2.711 -0.044 4.440
-2.270 -1.311 6.850
0.000 0.000 3.164
0.000 -2.645 6.586
-2.291 1.323 6.586
1.394 -2.326 4.440
-1.317 2.370 4.440
0.000 0.000 5.880
-2.166 -1.251 10.891
2.711 -0.044 4.440
1.317 2.370 4.440
2.270 -1.311 6.850
0.000 2.621 6.850
2.291 1.323 6.586
2.166 -1.251 10.891
0.000 2.501 10.891

Y2Mg2Zn PBE relaxed; ΔH_f (0 K) = -0.0286 eV/atom; energy = -35.068 eV for the cell shown; energy relative to the lowest polymorph listed for this composition = 0.34 eV per formula unit
1.0
7.044 0.000 0.000
0.000 7.044 0.000
0.000 0.000 5.135
Y Mg Zn
4 4 2
Cartesian
1.215 2.307 0.000
2.307 5.829 0.000
4.737 1.215 0.000
5.829 4.737 0.000
0.995 4.517 2.568
2.527 0.995 2.568
4.517 6.049 2.568
6.049 2.527 2.568
0.000 0.000 2.568
3.522 3.522 2.568

- energy of number 5 (Y3MgZn)?
  -21.277 eV for the cell shown